[1]
ZrNi8B2 | Alexandria | PBE | relaxed; DFT total energy = -6.43 eV per atom; energy of formation = -236 meV/atom; N(E_F) = 5.67 states/eV per cell
1.0
4.0016 0.0296 -0.8589
-0.4131 4.5110 -1.7691
0.2610 0.0072 6.6414
Ni B Zr
8 2 1
Direct
0.0270 0.5983 0.1965
0.9730 0.4017 0.8035
0.9008 0.7866 0.5731
0.5454 0.3716 0.2487
0.5454 0.8772 0.2487
0.0992 0.2134 0.4269
0.4546 0.6284 0.7513
0.4546 0.1228 0.7513
0.3614 0.7388 0.4776
0.6386 0.2612 0.5224
0.0000 0.0000 0.0000

---

[2]
ZrNi2B4 | Alexandria | PBE | relaxed; DFT total energy = -7.14 eV per atom; energy of formation = -455 meV/atom; N(E_F) = 3.89 states/eV per cell
1.0
-0.7045 0.1615 2.9970
-3.0591 -1.0915 -0.6603
3.8402 -5.4963 -0.3867
Ni B Zr
2 4 1
Direct
0.1915 0.1915 0.3830
0.8085 0.8085 0.6170
0.0773 0.5773 0.1545
0.6467 0.6467 0.2934
0.9227 0.4227 0.8455
0.3533 0.3533 0.7066
0.5000 0.0000 0.0000

---

[3]
ZrNiB2 | Alexandria | PBE | relaxed; DFT total energy = -7.18 eV per atom; energy above the most stable polymorph in this dataset = 10.675 kcal/mol of atoms; energy of formation = -262 meV/atom; N(E_F) = 5.08 states/eV per cell
1.0
-2.4865 0.6873 -2.7486
2.4238 -1.3776 -2.5371
-2.6548 -6.4984 -1.8082
Ni Zr B
2 2 4
Direct
0.2500 0.7500 0.5000
0.5000 0.5000 0.0000
0.7500 0.2500 0.5000
0.0000 0.0000 0.0000
0.8750 0.6252 0.7500
0.3750 0.6248 0.7500
0.3752 0.1250 0.2500
0.3748 0.6250 0.2500

---

[4]
ZrNi5B3 | Alexandria | PBE | relaxed; DFT total energy = -6.70 eV per atom; energy of formation = -317 meV/atom; N(E_F) = 10.70 states/eV per cell
1.0
-2.1856 -2.3842 1.1540
2.8877 1.8882 4.2608
-7.2847 7.4660 1.6285
Ni Zr B
10 2 6
Direct
0.5674 0.1348 0.8570
0.7851 0.5702 0.4256
0.0000 0.0000 0.5000
0.4326 0.8652 0.1430
0.2149 0.4298 0.5744
0.5674 0.1348 0.6430
0.2149 0.4298 0.9256
0.0000 0.0000 0.0000
0.4326 0.8652 0.3570
0.7851 0.5702 0.0744
0.8582 0.7164 0.7500
0.1418 0.2836 0.2500
0.8727 0.7454 0.2500
0.3980 0.7959 0.5494
0.6020 0.2041 0.4506
0.1273 0.2546 0.7500
0.3980 0.7959 0.9506
0.6020 0.2041 0.0494

---

[5]
ZrNi11B5 | Alexandria | PBE | relaxed; DFT total energy = -6.47 eV per atom; energy of formation = -261 meV/atom; N(E_F) = 7.81 states/eV per cell
1.0
4.9490 0.8021 -1.0421
-1.9737 5.5606 -1.1240
0.4122 0.0843 5.9918
Ni B Zr
11 5 1
Direct
0.3581 0.6684 0.6684
0.3434 0.3347 0.8754
0.9127 0.5295 0.8094
0.5000 0.0000 0.0000
0.6566 0.1246 0.6653
0.6419 0.3316 0.3316
0.0873 0.4705 0.1906
0.6566 0.6653 0.1246
0.0873 0.1906 0.4705
0.3434 0.8754 0.3347
0.9127 0.8094 0.5295
0.2797 0.6659 0.9988
0.7203 0.3341 0.0012
0.2797 0.9988 0.6659
0.7203 0.0012 0.3341
0.0000 0.5000 0.5000
0.0000 0.0000 0.0000

---

[6]
ZrNi12B6 | Alexandria | PBE | relaxed; DFT total energy = -6.53 eV per atom; energy of formation = -325 meV/atom; N(E_F) = 10.40 states/eV per cell
1.0
-1.2448 -4.4915 3.7250
5.6487 1.4529 1.2568
-3.2107 4.5830 2.0704
Ni B Zr
12 6 1
Direct
0.8151 0.5521 0.5521
0.5521 0.5521 0.8151
0.1287 0.5000 0.8713
0.4479 0.4479 0.1849
0.5000 0.1287 0.8713
0.5000 0.8713 0.1287
0.8713 0.1287 0.5000
0.8713 0.5000 0.1287
0.5521 0.8151 0.5521
0.1849 0.4479 0.4479
0.4479 0.1849 0.4479
0.1287 0.8713 0.5000
0.7625 0.3172 0.7625
0.3172 0.7625 0.7625
0.2375 0.6828 0.2375
0.6828 0.2375 0.2375
0.7625 0.7625 0.3172
0.2375 0.2375 0.6828
0.0000 0.0000 0.0000

---

[7]
Zr2NiB | Alexandria | PBE | relaxed; DFT total energy = -7.28 eV per atom; energy of formation = 111 meV/atom; N(E_F) = 4.19 states/eV per cell
1.0
6.5038 0.0000 0.0000
0.0000 6.5038 0.0000
3.2519 3.2519 3.2464
Ni Zr B
2 4 2
Direct
0.0000 0.0000 0.0000
0.7500 0.2500 0.5000
0.3750 0.4039 0.7500
0.1539 0.6250 0.2500
0.8750 0.8461 0.7500
0.5961 0.1250 0.2500
0.5000 0.5000 0.0000
0.2500 0.7500 0.5000

---

[8]
ZrNiB2 | Alexandria | PBE | relaxed; DFT total energy = -7.65 eV per atom; energy above the most stable polymorph in this dataset = 0.000 kcal/mol of atoms; energy of formation = -725 meV/atom; N(E_F) = 6.82 states/eV per cell
1.0
3.3877 0.0000 0.0000
0.0000 5.5897 0.0000
0.0000 0.0000 8.9706
Ni B Zr
4 8 4
Direct
0.7500 0.3703 0.0619
0.2500 0.1297 0.5619
0.2500 0.6297 0.9381
0.7500 0.8703 0.4381
0.7500 0.7896 0.8339
0.7500 0.2896 0.6661
0.2500 0.0282 0.3276
0.2500 0.7104 0.3339
0.7500 0.4718 0.8276
0.2500 0.5282 0.1724
0.2500 0.2104 0.1661
0.7500 0.9718 0.6724
0.7500 0.8679 0.1356
0.2500 0.1321 0.8644
0.2500 0.6321 0.6356
0.7500 0.3679 0.3644

---

What did the fifth record say?
ZrNi11B5 | Alexandria | PBE | relaxed; DFT total energy = -6.47 eV per atom; energy of formation = -261 meV/atom; N(E_F) = 7.81 states/eV per cell
1.0
4.9490 0.8021 -1.0421
-1.9737 5.5606 -1.1240
0.4122 0.0843 5.9918
Ni B Zr
11 5 1
Direct
0.3581 0.6684 0.6684
0.3434 0.3347 0.8754
0.9127 0.5295 0.8094
0.5000 0.0000 0.0000
0.6566 0.1246 0.6653
0.6419 0.3316 0.3316
0.0873 0.4705 0.1906
0.6566 0.6653 0.1246
0.0873 0.1906 0.4705
0.3434 0.8754 0.3347
0.9127 0.8094 0.5295
0.2797 0.6659 0.9988
0.7203 0.3341 0.0012
0.2797 0.9988 0.6659
0.7203 0.0012 0.3341
0.0000 0.5000 0.5000
0.0000 0.0000 0.0000

---

What is the formula in the seventh record? Zr2NiB

---

What is the formula in the third record? ZrNiB2